# 1
{
  "formula": "FeIr2C2",
  "functional": "GGA-PBE",
  "state": "relaxed",
  "cell": [[-2.5359, 4.2535, -3.6710], [1.8653, -3.1619, -4.9521], [-2.3685, -1.4068, 0.0061]],
  "species": ["C", "C", "C", "C", "Fe", "Fe", "Ir", "Ir", "Ir", "Ir"],
  "fractional_positions": [[0.1712, 0.3288, 0.0000], [0.8288, 0.6712, 0.0000], [0.6712, 0.1712, 0.0000], [0.3288, 0.8288, 0.0000], [0.5000, 0.5000, 0.0000], [0.0000, 0.0000, 0.0000], [0.3416, 0.1584, 0.5000], [0.6584, 0.8416, 0.5000], [0.1584, 0.6584, 0.5000], [0.8416, 0.3416, 0.5000]],
  "space_group": "P4/mbm, No. 127",
  "formation_enthalpy_0k_ev_per_atom": 1.14
}



# 2
{
  "formula": "Fe3IrC",
  "functional": "GGA-PBE",
  "state": "relaxed",
  "cell": [[-2.9040, -1.4597, 1.8768], [2.2469, -0.7160, 2.9198], [-0.7775, 3.3827, 1.4279]],
  "species": ["Ir", "Fe", "Fe", "Fe", "C"],
  "fractional_positions": [[0.5000, 0.5000, 0.5000], [0.0000, 0.5000, 0.0000], [0.0000, 0.0000, 0.5000], [0.5000, 0.0000, 0.0000], [0.0000, 0.0000, 0.0000]],
  "polymorph_energy_kj_per_mol_atoms": 0.0,
  "space_group": "Pm-3m, No. 221",
  "formation_enthalpy_0k_ev_per_atom": 0.26
}



# 3
{
  "formula": "MgFe2IrC",
  "functional": "GGA-PBE",
  "state": "relaxed",
  "cell": [[3.8524, 0.0000, 0.0000], [0.0000, 3.8524, 0.0000], [0.0000, 0.0000, 4.0812]],
  "species": ["Mg", "Ir", "Fe", "Fe", "C"],
  "fractional_positions": [[0.5000, 0.5000, 0.5000], [0.0000, 0.0000, 0.5000], [0.5000, 0.0000, 0.0000], [0.0000, 0.5000, 0.0000], [0.0000, 0.0000, 0.0000]],
  "space_group": "P4/mmm, No. 123",
  "formation_enthalpy_0k_ev_per_atom": -0.03
}



# 4
{
  "formula": "FeMo2IrC",
  "functional": "GGA-PBE",
  "state": "relaxed",
  "cell": [[-1.9685, 1.4993, -3.3058], [-2.8117, -3.0083, 0.3100], [-2.1057, 2.2001, 2.2517]],
  "species": ["C", "Ir", "Mo", "Mo", "Fe"],
  "fractional_positions": [[0.0000, 0.0000, 0.0000], [0.5000, 0.5000, 0.5000], [0.0000, 0.5000, 0.0000], [0.5000, 0.0000, 0.0000], [0.0000, 0.0000, 0.5000]],
  "space_group": "P4/mmm, No. 123",
  "formation_enthalpy_0k_ev_per_atom": 0.06
}



# 5
{
  "formula": "Nb2FeIrC",
  "functional": "GGA-PBE",
  "state": "relaxed",
  "cell": [[-2.9599, 2.0058, -2.3601], [0.7306, -2.7201, -3.2282], [-2.6448, -2.3135, 1.3508]],
  "species": ["Nb", "Nb", "Ir", "Fe", "C"],
  "fractional_positions": [[0.5000, 0.0000, 0.0000], [0.0000, 0.5000, 0.0000], [0.5000, 0.5000, 0.5000], [0.0000, 0.0000, 0.5000], [0.0000, 0.0000, 0.0000]],
  "space_group": "P4/mmm, No. 123",
  "formation_enthalpy_0k_ev_per_atom": -0.23
}



# 6
{
  "formula": "FeIrPdC2",
  "functional": "GGA-PBE",
  "state": "relaxed",
  "cell": [[-3.3103, 1.4604, -0.1086], [-1.8280, -4.3035, -2.1513], [-0.7012, -1.3451, 3.2866]],
  "species": ["C", "C", "Fe", "Ir", "Pd"],
  "fractional_positions": [[0.0000, 0.0000, 0.5000], [0.5000, 0.0000, 0.0000], [0.0000, 0.0000, 0.0000], [0.0000, 0.5000, 0.0000], [0.5000, 0.5000, 0.5000]],
  "polymorph_energy_kj_per_mol_atoms": 0.0,
  "space_group": "P4/mmm, No. 123",
  "formation_enthalpy_0k_ev_per_atom": 1.64
}